Below is a geometry-optimized TiHgSe2N structure, with properties calculated at the PBE level.

Unit cell a=5.254 b=5.254 c=4.004 alpha=90.00 beta=90.00 gamma=90.00
Atoms (fractional coordinates):
Ti (0.500, 0.500, 0.500)
Hg (0.000, 0.000, 0.000)
Se (0.500, 0.000, 0.000)
Se (0.000, 0.500, 0.000)
N (0.000, 0.000, 0.500)

Calculated values
- spin magnetization (μB per formula unit) = 0.00
- uncorrected energy (eV per atom) = -3.446
- E_form (uncorrected) (meV per atom) = 1252



Below is a geometry-optimized LiCuO structure, with properties calculated at the PBE level.

Unit cell a=3.659 b=3.382 c=5.813 alpha=90.00 beta=90.00 gamma=90.00
Atoms (fractional coordinates):
Cu (0.000, 0.500, 0.094)
Cu (0.000, 0.000, 0.647)
O (0.500, 0.000, 0.622)
O (0.500, 0.500, 0.124)
Li (0.500, 0.500, 0.455)
Li (0.500, 0.000, 0.961)

Calculated values
- spin magnetization (μB per formula unit) = 0.00
- uncorrected energy (eV per atom) = -4.733
- E_form (uncorrected) (meV per atom) = -1077